1.
# Tl2In2PbBr6, optimized geometry, DFT PBE
# * raw formation energy: -0.80 eV per atom
# * final energy: -2.9779 eV/atom
# * DOS(E_F): 0.00 states/eV per cell
data_Tl2In2PbBr6
_space_group_name_H-M_alt 'P 1'
_space_group_IT_number 1
_cell_length_a 8.020
_cell_length_b 8.020
_cell_length_c 8.021
_cell_angle_alpha 99.62
_cell_angle_beta 99.62
_cell_angle_gamma 116.61
loop_
_space_group_symop_operation_xyz
'x,y,z'
loop_
_atom_site_label
_atom_site_type_symbol
_atom_site_fract_x
_atom_site_fract_y
_atom_site_fract_z
Tl1 Tl 0.158 0.842 0.000
Tl2 Tl 0.842 0.158 0.000
In1 In 0.323 0.677 0.500
In2 In 0.677 0.323 0.500
Pb1 Pb 0.500 0.500 0.000
Br1 Br 0.116 0.436 0.773
Br2 Br 0.295 0.295 0.256
Br3 Br 0.436 0.116 0.773
Br4 Br 0.564 0.884 0.227
Br5 Br 0.705 0.705 0.744
Br6 Br 0.884 0.564 0.227

---

2.
# BaLaO2F, optimized geometry, DFT PBE
# * raw formation energy: -3.11 eV per atom
# * final energy: -6.8343 eV/atom
# * DOS(E_F): 0.00 states/eV per cell
data_BaLaO2F
_space_group_name_H-M_alt 'P 1'
_space_group_IT_number 1
_cell_length_a 4.699
_cell_length_b 4.699
_cell_length_c 4.664
_cell_angle_alpha 90.00
_cell_angle_beta 90.00
_cell_angle_gamma 90.00
loop_
_space_group_symop_operation_xyz
'x,y,z'
loop_
_atom_site_label
_atom_site_type_symbol
_atom_site_fract_x
_atom_site_fract_y
_atom_site_fract_z
Ba1 Ba 0.000 0.000 0.000
La1 La 0.500 0.500 0.500
O1 O 0.000 0.500 0.500
O2 O 0.500 0.000 0.500
F1 F 0.500 0.500 0.000

---

3.
# CeFe2H6, optimized geometry, DFT PBE
# * offset from the most stable computed form: 0.00 eV/f.u.
# * final energy: -5.0299 eV/atom
# * DOS(E_F): 7.29 states/eV per cell
data_CeFe2H6
_space_group_name_H-M_alt 'P 1'
_space_group_IT_number 1
_cell_length_a 4.430
_cell_length_b 4.430
_cell_length_c 4.336
_cell_angle_alpha 90.08
_cell_angle_beta 90.08
_cell_angle_gamma 122.16
loop_
_space_group_symop_operation_xyz
'x,y,z'
loop_
_atom_site_label
_atom_site_type_symbol
_atom_site_fract_x
_atom_site_fract_y
_atom_site_fract_z
Ce1 Ce 0.000 0.000 0.000
Fe1 Fe 0.337 0.663 0.500
Fe2 Fe 0.663 0.337 0.500
H1 H 0.001 0.501 0.760
H2 H 0.255 0.255 0.501
H3 H 0.499 0.999 0.240
H4 H 0.501 0.001 0.760
H5 H 0.745 0.745 0.499
H6 H 0.999 0.499 0.240

---

4.
# SrTaBr, optimized geometry, DFT PBE
# * raw formation energy: -0.51 eV per atom
# * offset from the most stable computed form: 0.20 eV/f.u.
# * final energy: -5.5767 eV/atom
# * DOS(E_F): 2.33 states/eV per cell
data_SrTaBr
_space_group_name_H-M_alt 'P 1'
_space_group_IT_number 1
_cell_length_a 3.540
_cell_length_b 4.106
_cell_length_c 12.695
_cell_angle_alpha 90.07
_cell_angle_beta 90.28
_cell_angle_gamma 90.01
loop_
_space_group_symop_operation_xyz
'x,y,z'
loop_
_atom_site_label
_atom_site_type_symbol
_atom_site_fract_x
_atom_site_fract_y
_atom_site_fract_z
Sr1 Sr 0.249 0.249 0.255
Sr2 Sr 0.751 0.751 0.745
Ta1 Ta 0.250 0.750 0.494
Ta2 Ta 0.750 0.250 0.506
Br1 Br 0.253 0.251 0.867
Br2 Br 0.747 0.749 0.133

---

5.
# NdSn3Ru3, optimized geometry, DFT PBE
# * ΔH_f (0 K): 0.4301 eV/atom
# * final energy: -5.9419 eV/atom
# * DOS(E_F): 6.84 states/eV per cell
data_NdSn3Ru3
_space_group_name_H-M_alt 'P 1'
_space_group_IT_number 1
_cell_length_a 7.163
_cell_length_b 7.163
_cell_length_c 7.163
_cell_angle_alpha 90.00
_cell_angle_beta 90.00
_cell_angle_gamma 90.00
loop_
_space_group_symop_operation_xyz
'x,y,z'
loop_
_atom_site_label
_atom_site_type_symbol
_atom_site_fract_x
_atom_site_fract_y
_atom_site_fract_z
Nd1 Nd 0.000 0.000 0.000
Nd2 Nd 0.500 0.500 0.500
Sn1 Sn 0.000 0.250 0.500
Sn2 Sn 0.000 0.750 0.500
Sn3 Sn 0.250 0.500 0.000
Sn4 Sn 0.500 0.000 0.250
Sn5 Sn 0.500 0.000 0.750
Sn6 Sn 0.750 0.500 0.000
Ru1 Ru 0.000 0.500 0.250
Ru2 Ru 0.000 0.500 0.750
Ru3 Ru 0.250 0.000 0.500
Ru4 Ru 0.500 0.250 0.000
Ru5 Ru 0.500 0.750 0.000
Ru6 Ru 0.750 0.000 0.500

---

6.
# CaCrSb2Te, optimized geometry, DFT PBE
# * raw formation energy: 1.35 eV per atom
# * offset from the most stable computed form: 7.26 eV/f.u.
# * final energy: -3.2536 eV/atom
# * DOS(E_F): 10.74 states/eV per cell
data_CaCrSb2Te
_space_group_name_H-M_alt 'P 1'
_space_group_IT_number 1
_cell_length_a 5.717
_cell_length_b 5.717
_cell_length_c 5.707
_cell_angle_alpha 90.00
_cell_angle_beta 90.00
_cell_angle_gamma 90.00
loop_
_space_group_symop_operation_xyz
'x,y,z'
loop_
_atom_site_label
_atom_site_type_symbol
_atom_site_fract_x
_atom_site_fract_y
_atom_site_fract_z
Ca1 Ca 0.000 0.000 0.000
Cr1 Cr 0.500 0.500 0.500
Sb1 Sb 0.000 0.500 0.000
Sb2 Sb 0.500 0.000 0.000
Te1 Te 0.000 0.000 0.500